Density functional theory data (PBE) for a relaxed Cs3CoAg2Br9 crystal.

The structure in extended XYZ format:
```
15
Lattice="7.682 0.000 0.000 -3.841 6.653 0.000 0.000 0.000 9.330" Properties=species:S:1:pos:R:3 pbc="T T T"
Cs 3.841 2.218 3.064
Cs 0.000 0.000 0.000
Cs 0.000 4.435 6.266
Ag 0.000 4.435 1.607
Ag 3.841 2.218 7.723
Br 3.841 0.000 0.000
Br 1.921 3.327 0.000
Br 3.841 4.623 6.091
Br -2.083 5.638 3.239
Br -1.921 3.327 0.000
Br 2.083 5.638 3.239
Br 1.758 1.015 6.091
Br 0.000 2.030 3.239
Br 5.925 1.015 6.091
Co 0.000 0.000 4.665
```

Density of states at the Fermi level ... 15.8 states/eV/f.u.
Symmetry ... P-3m1, No. 164
Energy relative to the elements, uncorrected ... -885 meV per atom